This record from Alexandria via LeMat-Bulk describes a relaxed structure of Sm3TlBi. The functional is GGA-PBE.

Cell lengths 5.2231, 11.5732, 11.5732 Å; angles 88.89, 76.89, 76.89 degrees
With the nearest neighbours (Å) after each atom.
Fractional positions:
Sm1 0.3838 0.7869 0.9473  4 Tl 3.26-3.49, 3 Bi 3.34-3.53
Sm2 0.3610 0.4673 0.3068  1 Tl 3.23, 3 Bi 3.25-3.45, 1 Sm 3.54
Sm3 0.6162 0.2131 0.0527  4 Tl 3.26-3.49, 3 Bi 3.34-3.53
Sm4 0.1390 0.6932 0.5327  1 Tl 3.23, 3 Bi 3.25-3.45, 1 Sm 3.54
Sm5 0.1308 0.3614 0.8766  2 Bi 3.18-3.28, 3 Tl 3.21-3.30
Sm6 0.8838 0.9473 0.7869  4 Tl 3.26-3.49, 3 Bi 3.34-3.53
Sm7 0.1162 0.0527 0.2131  4 Tl 3.26-3.49, 3 Bi 3.34-3.53
Sm8 0.6390 0.5327 0.6932  1 Tl 3.23, 3 Bi 3.25-3.45, 1 Sm 3.54
Sm9 0.6308 0.8766 0.3614  2 Bi 3.18-3.28, 3 Tl 3.21-3.30
Sm10 0.3692 0.1234 0.6386  2 Bi 3.18-3.28, 3 Tl 3.21-3.30
Sm11 0.8610 0.3068 0.4673  1 Tl 3.23, 3 Bi 3.25-3.45, 1 Sm 3.54
Sm12 0.8692 0.6386 0.1234  2 Bi 3.18-3.28, 3 Tl 3.21-3.30
Bi1 0.9840 0.3611 0.1680  8 Sm 3.18-3.53
Bi2 0.5160 0.8320 0.6389  8 Sm 3.18-3.53
Bi3 0.0160 0.6389 0.8320  8 Sm 3.18-3.53
Bi4 0.4840 0.1680 0.3611  8 Sm 3.18-3.53
Tl1 0.7500 0.9256 0.0744  8 Sm 3.26-3.34, 2 Tl 3.56
Tl2 0.2500 0.7472 0.2528  8 Sm 3.21-3.49
Tl3 0.2500 0.0744 0.9256  8 Sm 3.26-3.34, 2 Tl 3.56
Tl4 0.7500 0.2528 0.7472  8 Sm 3.21-3.49

Summary:
Energy ... -88.85 eV for the cell shown
DOS(E_F) ... 1.035 states/eV per atom
ΔH_f (0 K) ... -8.336 kcal/mol of atoms
Theoretical density ... 8.66 Mg/m³

***

This record from Alexandria via LeMat-Bulk describes a relaxed structure of KCaPb2S. The functional is GGA-PBE.

Cell lengths 6.1349, 5.1510, 6.1349 Å; angles 90.00, 90.00, 90.00 degrees
With the nearest neighbours (Å) after each atom.
Fractional positions:
Pb1 0.0000 0.0000 0.5000  2 Ca 3.07
Pb2 0.5000 0.0000 0.0000  2 Ca 3.07
K1 0.5000 0.5000 0.5000  8 Pb 4.01, 4 S 4.34
Ca1 0.0000 0.0000 0.0000  2 S 2.58
S1 0.0000 0.5000 0.0000  2 Ca 2.58

Summary:
Energy ... -15.09 eV for the cell shown
DOS(E_F) ... 0.615 states/eV per atom
Raw formation energy ... -0.089 eV per atom
Theoretical density ... 4.50 Mg/m³

***

This record from Alexandria via LeMat-Bulk describes a relaxed structure of PmNd8Sm4. The functional is GGA-PBE.

Cell lengths 11.8940, 11.8940, 7.9060 Å; angles 90.00, 138.78, 120.00 degrees
With the nearest neighbours (Å) after each atom.
Fractional positions:
Sm1 0.5000 0.5000 0.0000  6 Nd 3.44-3.59
Sm2 0.0000 0.5000 0.0000  6 Nd 3.44-3.59
Sm3 0.5000 0.0000 0.0000  6 Nd 3.44-3.59
Sm4 0.0000 0.0000 0.0000  2 Nd 2.86
Nd1 0.8359 0.1663 0.0022  3 Sm 3.41-3.44, 3 Nd 3.41-3.62
Nd2 0.4858 0.2429 0.7288  1 Sm 2.86, 1 Pm 3.02
Nd3 0.1641 0.3304 0.9978  3 Sm 3.41-3.44, 3 Nd 3.41-3.62
Nd4 0.5142 0.7571 0.2712  1 Sm 2.86, 1 Pm 3.02
Nd5 0.8359 0.6696 0.0022  3 Sm 3.41-3.44, 3 Nd 3.41-3.62
Nd6 0.1641 0.8337 0.9978  3 Sm 3.41-3.44, 3 Nd 3.41-3.62
Nd7 0.6674 0.8337 0.9978  3 Sm 3.41-3.44, 3 Nd 3.41-3.62
Nd8 0.3326 0.1663 0.0022  3 Sm 3.41-3.44, 3 Nd 3.41-3.62
Pm1 0.0000 0.5000 0.5000  2 Nd 3.02

Summary:
Energy ... -56.55 eV for the cell shown
DOS(E_F) ... 2.061 states/eV per atom
ΔH_f (0 K) ... 9.259 kcal/mol of atoms
Theoretical density ... 6.57 Mg/m³

***

This record from Alexandria via LeMat-Bulk describes a relaxed structure of Tb2YRh3. The functional is GGA-PBE.

Cell lengths 4.8676, 4.8676, 5.9455 Å; angles 90.00, 90.00, 120.00 degrees
With the nearest neighbours (Å) after each atom.
Fractional positions:
Rh1 0.3333 0.6667 0.1672  5 Tb 2.97-2.98, 3 Y 2.98
Rh2 0.0000 0.0000 0.5000  2 Y 2.97, 6 Tb 2.98
Rh3 0.6667 0.3333 0.8328  5 Tb 2.97-2.98, 3 Y 2.98
Tb1 0.3333 0.6667 0.6669  8 Rh 2.97-2.98
Tb2 0.6667 0.3333 0.3331  8 Rh 2.97-2.98
Y1 0.0000 0.0000 0.0000  8 Rh 2.97-2.98

Summary:
Energy ... -42.86 eV for the cell shown
DOS(E_F) ... 0.708 states/eV per atom
ΔH_f (0 K) ... -19.514 kcal/mol of atoms
Theoretical density ... 9.74 Mg/m³

***

This record from Alexandria via LeMat-Bulk describes a relaxed structure of HfPt2F. The functional is GGA-PBE.

Cell lengths 8.4750, 8.4750, 6.3740 Å; angles 48.33, 48.33, 90.00 degrees
With the nearest neighbours (Å) after each atom.
Fractional positions:
Pt1 0.6972 0.1250 0.2500  2 Pt 2.49, 2 Hf 2.66
Pt2 0.8750 0.9472 0.7500  2 Pt 2.49, 2 Hf 2.66
Pt3 0.0528 0.6250 0.2500  2 Pt 2.49, 2 Hf 2.66
Pt4 0.3750 0.3028 0.7500  2 Pt 2.49, 2 Hf 2.66
Hf1 0.0000 0.0000 0.0000  2 F 2.17
Hf2 0.7500 0.2500 0.5000  2 F 2.17
F1 0.2500 0.7500 0.5000  2 Hf 2.17
F2 0.5000 0.5000 0.0000  2 Hf 2.17

Summary:
Energy ... -56.77 eV for the cell shown
DOS(E_F) ... 0.597 states/eV per atom
Raw formation energy ... -1.120 eV per atom
Theoretical density ... 12.51 Mg/m³

***

This record from Alexandria via LeMat-Bulk describes a relaxed structure of SiAu. The functional is GGA-PBE.

Cell lengths 5.0552, 5.0552, 5.0552 Å; angles 51.62, 51.62, 51.62 degrees
With the nearest neighbours (Å) after each atom.
Fractional positions:
Au1 0.1102 0.1102 0.1102  4 Si 2.52-2.75
Au2 0.8898 0.8898 0.8898  4 Si 2.52-2.75
Si1 0.6974 0.6974 0.6974  4 Au 2.52-2.75, 3 Si 2.67
Si2 0.3026 0.3026 0.3026  4 Au 2.52-2.75, 3 Si 2.67

Summary:
Energy ... -16.35 eV for the cell shown
DOS(E_F) ... 0.348 states/eV per atom
Raw formation energy ... 0.262 eV per atom
Theoretical density ... 10.19 Mg/m³

***

This record from Alexandria via LeMat-Bulk describes a relaxed structure of Pr4Ir3Pt. The functional is GGA-PBE.

Cell lengths 4.0757, 4.2674, 11.1323 Å; angles 90.00, 90.00, 90.00 degrees
With the nearest neighbours (Å) after each atom.
Fractional positions:
Pr1 0.0000 0.5000 0.8536  5 Ir 3.03-3.05, 2 Pt 3.26
Pr2 0.5000 0.0000 0.6429  7 Ir 3.03-3.23
Pr3 0.0000 0.0000 0.1451  3 Ir 3.03-3.25, 4 Pt 3.03
Pr4 0.5000 0.5000 0.3619  6 Ir 3.01-3.16, 1 Pt 3.11
Pt1 0.5000 0.5000 0.0825  2 Ir 2.82, 5 Pr 3.03-3.11
Ir1 0.0000 0.5000 0.5794  2 Ir 2.79, 5 Pr 3.03-3.05
Ir2 0.0000 0.0000 0.4173  2 Ir 2.79, 5 Pr 3.01-3.03
Ir3 0.5000 0.0000 0.9174  2 Pt 2.82, 5 Pr 3.03-3.06

Summary:
Energy ... -57.48 eV for the cell shown
DOS(E_F) ... 0.445 states/eV per atom
ΔH_f (0 K) ... -16.531 kcal/mol of atoms
Theoretical density ... 11.45 Mg/m³

***

This record from Alexandria via LeMat-Bulk describes a relaxed structure of LaAlTl2S4. The functional is GGA-PBE.

Cell lengths 8.3083, 8.3083, 8.8049 Å; angles 122.00, 122.00, 89.99 degrees
With the nearest neighbours (Å) after each atom.
Fractional positions:
S1 0.2445 0.2557 0.4377  2 Al 2.55
S2 0.7343 0.3014 0.5179  1 Al 2.55
S3 0.1986 0.7657 0.9821  1 Al 2.55
S4 0.7555 0.7443 0.5623  2 Al 2.55
S5 0.7557 0.7445 0.9377  2 Al 2.55
S6 0.2443 0.2555 0.0623  2 Al 2.55
S7 0.2657 0.6986 0.4821  1 Al 2.55
S8 0.8014 0.2343 0.0179  1 Al 2.55
Al1 0.5000 0.5000 0.5000  6 S 2.55
Al2 0.0000 0.0000 0.0000  6 S 2.55
Tl1 0.5000 0.0000 0.0000  6 S 3.05-3.06
Tl2 0.0000 0.0000 0.5000  6 S 3.33-3.37
Tl3 0.5000 0.5000 0.0000  6 S 3.33-3.37
Tl4 0.5000 0.0000 0.5000  6 S 3.05-3.06
La1 0.0000 0.5000 0.0000  6 S 2.87-2.92
La2 0.0000 0.5000 0.5000  6 S 2.87-2.92

Summary:
Energy ... -75.95 eV for the cell shown
DOS(E_F) ... 0.024 states/eV per atom
Raw formation energy ... -1.008 eV per atom
Theoretical density ... 5.80 Mg/m³

***

This record from Alexandria via LeMat-Bulk describes a relaxed structure of BaVFe3. The functional is GGA-PBE.

Cell lengths 4.6702, 4.6702, 4.6702 Å; angles 90.00, 90.00, 90.00 degrees
With the nearest neighbours (Å) after each atom.
Fractional positions:
Fe1 0.0000 0.5000 0.0000  2 V 2.34
Fe2 0.5000 0.0000 0.0000  2 V 2.34
Fe3 0.0000 0.0000 0.5000  2 V 2.34
V1 0.0000 0.0000 0.0000  6 Fe 2.34
Ba1 0.5000 0.5000 0.5000  12 Fe 3.30

Summary:
Energy ... -32.03 eV for the cell shown
DOS(E_F) ... 1.243 states/eV per atom
ΔH_f (0 K) ... 20.312 kcal/mol of atoms
Theoretical density ... 5.80 Mg/m³

***

This record from Alexandria via LeMat-Bulk describes a relaxed structure of Nd6Tc2Au. The functional is GGA-PBE.

Cell lengths 8.7104, 8.7104, 8.7104 Å; angles 106.97, 110.82, 110.65 degrees
With the nearest neighbours (Å) after each atom.
Fractional positions:
Au1 0.0000 0.5000 0.5000  12 Nd 3.43-3.74
Au2 0.0000 0.0000 0.0000  8 Nd 3.09-3.39
Nd1 0.7122 0.0286 0.3164  3 Tc 2.97-3.08
Nd2 0.7936 0.7758 0.5695  1 Tc 2.88, 1 Au 3.09
Nd3 0.2064 0.2242 0.4305  1 Tc 2.88, 1 Au 3.09
Nd4 0.4738 0.2853 0.1886  3 Tc 3.07-3.39, 1 Au 3.39
Nd5 0.7936 0.2242 0.0178  1 Tc 2.88, 1 Au 3.09
Nd6 0.2878 0.9714 0.6836  3 Tc 2.97-3.08
Nd7 0.2878 0.6042 0.3164  3 Tc 2.97-3.08
Nd8 0.0967 0.2853 0.8114  3 Tc 3.07-3.39, 1 Au 3.39
Nd9 0.9033 0.7147 0.1886  3 Tc 3.07-3.39, 1 Au 3.39
Nd10 0.5262 0.7147 0.8114  3 Tc 3.07-3.39, 1 Au 3.39
Nd11 0.7122 0.3958 0.6836  3 Tc 2.97-3.08
Nd12 0.2064 0.7758 0.9822  1 Tc 2.88, 1 Au 3.09
Tc1 0.3782 0.0000 0.3782  1 Tc 2.41
Tc2 0.6218 0.0000 0.6218  1 Tc 2.41
Tc3 0.5000 0.6143 0.1143  1 Tc 2.37
Tc4 0.5000 0.3857 0.8857  1 Tc 2.37

Summary:
Energy ... -107.57 eV for the cell shown
DOS(E_F) ... 0.949 states/eV per atom
ΔH_f (0 K) ... -2.993 kcal/mol of atoms
Theoretical density ... 8.23 Mg/m³

***

This record from Alexandria via LeMat-Bulk describes a relaxed structure of Li3ReN. The functional is GGA-PBE.

Cell lengths 3.9824, 3.9824, 3.9824 Å; angles 90.00, 90.00, 90.00 degrees
With the nearest neighbours (Å) after each atom.
Fractional positions:
N1 0.0000 0.0000 0.0000  6 Li 1.99
Re1 0.5000 0.5000 0.5000  12 Li 2.82
Li1 0.0000 0.5000 0.0000  2 N 1.99
Li2 0.5000 0.0000 0.0000  2 N 1.99
Li3 0.0000 0.0000 0.5000  2 N 1.99

Summary:
Energy ... -22.10 eV for the cell shown
DOS(E_F) ... 0.397 states/eV per atom
Raw formation energy ... 0.883 eV per atom
Theoretical density ... 5.81 Mg/m³

***

This record from Alexandria via LeMat-Bulk describes a relaxed structure of Ac3YSn6. The functional is GGA-PBE.

Cell lengths 8.7116, 8.7116, 8.7116 Å; angles 97.30, 97.30, 97.30 degrees
With the nearest neighbours (Å) after each atom.
Fractional positions:
Ac1 0.7500 0.3183 0.1817  8 Sn 3.44-3.65
Ac2 0.2500 0.6817 0.8183  8 Sn 3.44-3.65
Ac3 0.1817 0.7500 0.3183  8 Sn 3.44-3.65
Ac4 0.6817 0.8183 0.2500  8 Sn 3.44-3.65
Ac5 0.3183 0.1817 0.7500  8 Sn 3.44-3.65
Ac6 0.8183 0.2500 0.6817  8 Sn 3.44-3.65
Y1 0.5000 0.5000 0.5000  6 Sn 3.16
Y2 0.0000 0.0000 0.0000  6 Sn 3.16
Sn1 0.4118 0.4864 0.1348  2 Sn 2.89-2.98, 1 Y 3.16
Sn2 0.3652 0.0137 0.0882  2 Sn 2.89-2.98, 1 Y 3.16
Sn3 0.0882 0.3652 0.0137  2 Sn 2.89-2.98, 1 Y 3.16
Sn4 0.6348 0.9863 0.9118  2 Sn 2.89-2.98, 1 Y 3.16
Sn5 0.9118 0.6348 0.9863  2 Sn 2.89-2.98, 1 Y 3.16
Sn6 0.4864 0.1348 0.4118  2 Sn 2.89-2.98, 1 Y 3.16
Sn7 0.5882 0.5136 0.8652  2 Sn 2.89-2.98, 1 Y 3.16
Sn8 0.8652 0.5882 0.5136  2 Sn 2.89-2.98, 1 Y 3.16
Sn9 0.9863 0.9118 0.6348  2 Sn 2.89-2.98, 1 Y 3.16
Sn10 0.1348 0.4118 0.4864  2 Sn 2.89-2.98, 1 Y 3.16
Sn11 0.0137 0.0882 0.3652  2 Sn 2.89-2.98, 1 Y 3.16
Sn12 0.5136 0.8652 0.5882  2 Sn 2.89-2.98, 1 Y 3.16

Summary:
Energy ... -98.18 eV for the cell shown
DOS(E_F) ... 0.740 states/eV per atom
ΔH_f (0 K) ... -14.486 kcal/mol of atoms
Theoretical density ... 7.65 Mg/m³

***

> Number 6 is which compound?

SiAu